Density functional theory data (SCAN) for TiSiTeI2 at its PBEsol-relaxed geometry. Values from VASP.

Structure (Quantum ESPRESSO input):
```
&SYSTEM
  ibrav = 0, nat = 5, ntyp = 4
/
ATOMIC_SPECIES
Ti 47.87 Ti.upf
Si 28.09 Si.upf
Te 127.60 Te.upf
I 126.90 I.upf
ATOMIC_POSITIONS angstrom
Ti 0.000 0.000 0.000
Si 2.646 2.646 2.707
Te 2.646 2.646 0.000
I 0.000 2.646 2.707
I 2.646 0.000 2.707
CELL_PARAMETERS angstrom
5.291 0.000 0.000
0.000 5.291 0.000
0.000 0.000 5.414
```

Calculated values
The uncorrected energy comes out at -0.988 Ha/atom. The space group is No. 123. Its density of states at the Fermi level is 1.47 states/eV/cell. The value obtained for the volume is 30.3 Å³/atom. The calculation puts the calculated density at 5.01 g/cm3.


Density functional theory data (SCAN) for TiSiI3 at its PBEsol-relaxed geometry. Values from VASP.

Structure (Quantum ESPRESSO input):
```
&SYSTEM
  ibrav = 0, nat = 5, ntyp = 3
/
ATOMIC_SPECIES
Ti 47.87 Ti.upf
Si 28.09 Si.upf
I 126.90 I.upf
ATOMIC_POSITIONS angstrom
Ti 0.000 0.000 0.000
Si 2.720 2.720 2.720
I 0.000 0.000 2.720
I 0.000 2.720 0.000
I 2.720 0.000 0.000
CELL_PARAMETERS angstrom
5.441 0.000 0.000
0.000 5.441 0.000
0.000 0.000 5.441
```

Calculated values
The uncorrected energy comes out at -0.992 Ha/atom. The space group is No. 221. Its density of states at the Fermi level is 3.46 states/eV/cell. The value obtained for the volume is 32.2 Å³/atom. The calculation puts the calculated density at 4.71 g/cm3.


Density functional theory data (SCAN) for Zr6SiI14 at its PBEsol-relaxed geometry. Values from VASP.

Structure (Quantum ESPRESSO input):
```
&SYSTEM
  ibrav = 0, nat = 42, ntyp = 3
/
ATOMIC_SPECIES
Zr 91.22 Zr.upf
Si 28.09 Si.upf
I 126.90 I.upf
ATOMIC_POSITIONS angstrom
Zr 1.813 0.982 11.375
Zr 7.947 4.999 11.477
Zr 1.813 -0.982 1.487
Zr 6.134 0.982 7.918
Zr 7.947 2.076 5.046
Zr 6.134 -0.982 4.944
Zr 9.760 0.982 7.918
Zr 7.947 -2.076 7.817
Zr 9.760 -0.982 4.944
Zr 14.081 0.982 11.375
Zr 7.947 -4.999 1.386
Zr 14.081 -0.982 1.487
Si 0.000 0.000 0.000
Si 7.947 0.000 6.431
I 2.001 1.260 3.262
I 3.974 2.227 9.647
I 5.938 3.587 0.094
I 5.938 3.488 6.525
I 7.947 4.826 3.423
I 2.001 -1.260 9.601
I 3.915 0.000 6.431
I 4.032 0.000 0.000
I 5.946 1.260 3.170
I 7.947 2.249 9.855
I 9.956 3.587 0.094
I 9.956 3.488 6.525
I 3.974 -2.227 3.216
I 5.946 -1.260 9.693
I 9.948 1.260 3.170
I 11.921 2.227 9.647
I 5.938 -3.488 6.337
I 5.938 -3.587 12.768
I 7.947 -2.249 3.008
I 9.948 -1.260 9.693
I 11.862 0.000 0.000
I 11.979 0.000 6.431
I 13.893 1.260 3.262
I 7.947 -4.826 9.439
I 9.956 -3.488 6.337
I 9.956 -3.587 12.768
I 11.921 -2.227 3.216
I 13.893 -1.260 9.601
CELL_PARAMETERS angstrom
7.947 -7.075 0.000
7.947 7.075 0.000
0.000 0.000 12.862
```

Calculated values
The uncorrected energy comes out at -1.279 Ha/atom. The space group is No. 64. The value obtained for the volume is 34.4 Å³/atom. The calculation puts the calculated density at 5.40 g/cm3.


Density functional theory data (SCAN) for ZrSi3I at its PBEsol-relaxed geometry. Values from VASP.

Structure (Quantum ESPRESSO input):
```
&SYSTEM
  ibrav = 0, nat = 5, ntyp = 3
/
ATOMIC_SPECIES
Zr 91.22 Zr.upf
Si 28.09 Si.upf
I 126.90 I.upf
ATOMIC_POSITIONS angstrom
Zr 0.000 0.000 0.000
Si 0.000 0.000 2.576
Si 0.000 2.576 0.000
Si 2.576 0.000 0.000
I 2.576 2.576 2.576
CELL_PARAMETERS angstrom
5.151 0.000 0.000
0.000 5.151 0.000
0.000 0.000 5.151
```

Calculated values
The uncorrected energy comes out at -0.680 Ha/atom. The space group is No. 221. Its density of states at the Fermi level is 6.52 states/eV/cell. The value obtained for the volume is 27.3 Å³/atom. The calculation puts the calculated density at 3.67 g/cm3.


Density functional theory data (SCAN) for SmI3 at its PBEsol-relaxed geometry. Values from VASP.

Structure (Quantum ESPRESSO input):
```
&SYSTEM
  ibrav = 0, nat = 8, ntyp = 2
/
ATOMIC_SPECIES
Sm 150.36 Sm.upf
I 126.90 I.upf
ATOMIC_POSITIONS angstrom
Sm 0.000 6.161 1.002
Sm 5.336 3.081 3.007
I 0.000 3.838 3.007
I -2.012 7.323 3.007
I 3.323 1.919 1.002
I 2.012 7.323 3.007
I 7.348 1.919 1.002
I 5.336 5.404 1.002
CELL_PARAMETERS angstrom
10.671 0.000 0.000
-5.336 9.242 0.000
0.000 0.000 4.009
```

Calculated values
The uncorrected energy comes out at -1.476 Ha/atom. The space group is No. 194. Its density of states at the Fermi level is 0.00 states/eV/cell. The value obtained for the volume is 49.4 Å³/atom. The calculation puts the calculated density at 4.46 g/cm3.


Density functional theory data (SCAN) for SnI3 at its PBEsol-relaxed geometry. Values from VASP.

Structure (Quantum ESPRESSO input):
```
&SYSTEM
  ibrav = 0, nat = 4, ntyp = 2
/
ATOMIC_SPECIES
Sn 118.71 Sn.upf
I 126.90 I.upf
ATOMIC_POSITIONS angstrom
Sn 0.000 0.000 0.000
I 0.000 0.000 2.950
I 0.000 2.950 0.000
I 2.950 0.000 0.000
CELL_PARAMETERS angstrom
5.900 0.000 0.000
0.000 5.900 0.000
0.000 0.000 5.900
```

Calculated values
The uncorrected energy comes out at -1.349 Ha/atom. The space group is No. 221. Its density of states at the Fermi level is 2.43 states/eV/cell. The value obtained for the volume is 51.3 Å³/atom. The calculation puts the calculated density at 4.04 g/cm3.


Density functional theory data (SCAN) for SnI2 at its PBEsol-relaxed geometry. Values from VASP.

Structure (Quantum ESPRESSO input):
```
&SYSTEM
  ibrav = 0, nat = 9, ntyp = 2
/
ATOMIC_SPECIES
Sn 118.71 Sn.upf
I 126.90 I.upf
ATOMIC_POSITIONS angstrom
Sn 0.000 0.000 0.000
Sn 3.580 0.000 3.256
Sn 10.123 0.000 7.474
I 0.808 0.000 7.837
I 4.556 0.000 9.885
I 4.849 0.000 6.016
I 8.853 0.000 4.714
I 9.146 0.000 0.845
I 12.894 0.000 2.892
CELL_PARAMETERS angstrom
7.073 -2.192 0.000
7.073 2.192 0.000
-0.443 0.000 10.729
```

Calculated values
The uncorrected energy comes out at -1.356 Ha/atom. The space group is No. 12. Its density of states at the Fermi level is 0.00 states/eV/cell. The value obtained for the volume is 37.0 Å³/atom. The calculation puts the calculated density at 5.58 g/cm3.


Density functional theory data (SCAN) for SnI2 at its PBEsol-relaxed geometry. Values from VASP.

Structure (Quantum ESPRESSO input):
```
&SYSTEM
  ibrav = 0, nat = 6, ntyp = 2
/
ATOMIC_SPECIES
Sn 118.71 Sn.upf
I 126.90 I.upf
ATOMIC_POSITIONS angstrom
Sn 0.000 0.000 0.000
Sn 3.744 3.744 2.266
I 1.530 1.530 2.266
I 2.214 5.274 0.000
I 5.274 2.214 0.000
I 5.958 5.958 2.266
CELL_PARAMETERS angstrom
7.488 0.000 0.000
0.000 7.488 0.000
0.000 0.000 4.531
```

Calculated values
The uncorrected energy comes out at -1.355 Ha/atom. The space group is No. 136. The value obtained for the volume is 42.4 Å³/atom. The calculation puts the calculated density at 4.87 g/cm3.


Density functional theory data (SCAN) for SrSnTeI2 at its PBEsol-relaxed geometry. Values from VASP.

Structure (Quantum ESPRESSO input):
```
&SYSTEM
  ibrav = 0, nat = 5, ntyp = 4
/
ATOMIC_SPECIES
Sr 87.62 Sr.upf
Sn 118.71 Sn.upf
Te 127.60 Te.upf
I 126.90 I.upf
ATOMIC_POSITIONS angstrom
Sr 0.000 0.000 0.000
Sn 2.911 2.911 2.994
Te 2.911 2.911 0.000
I 0.000 2.911 2.994
I 2.911 0.000 2.994
CELL_PARAMETERS angstrom
5.823 0.000 0.000
0.000 5.823 0.000
0.000 0.000 5.988
```

Calculated values
The uncorrected energy comes out at -1.266 Ha/atom. The space group is No. 123. Its density of states at the Fermi level is 0.22 states/eV/cell. The value obtained for the volume is 40.6 Å³/atom. The calculation puts the calculated density at 4.81 g/cm3.


Density functional theory data (SCAN) for TaSn2I at its PBEsol-relaxed geometry. Values from VASP.

Structure (Quantum ESPRESSO input):
```
&SYSTEM
  ibrav = 0, nat = 16, ntyp = 3
/
ATOMIC_SPECIES
Ta 180.95 Ta.upf
Sn 118.71 Sn.upf
I 126.90 I.upf
ATOMIC_POSITIONS angstrom
Ta 0.000 0.000 0.000
Ta 0.000 3.613 3.613
Ta 3.613 0.000 3.613
Ta 3.613 3.613 0.000
Sn 1.807 1.807 1.807
Sn 1.807 1.807 5.420
Sn 1.807 5.420 1.807
Sn 1.807 5.420 5.420
Sn 5.420 1.807 1.807
Sn 5.420 1.807 5.420
Sn 5.420 5.420 1.807
Sn 5.420 5.420 5.420
I 0.000 0.000 3.613
I 0.000 3.613 0.000
I 3.613 0.000 0.000
I 3.613 3.613 3.613
CELL_PARAMETERS angstrom
7.226 0.000 0.000
0.000 7.226 0.000
0.000 0.000 7.226
```

Calculated values
The uncorrected energy comes out at -1.569 Ha/atom. The space group is No. 225. Its density of states at the Fermi level is 15.70 states/eV/cell. The value obtained for the volume is 23.6 Å³/atom. The calculation puts the calculated density at 9.60 g/cm3.


Density functional theory data (SCAN) for TaSn3I at its PBEsol-relaxed geometry. Values from VASP.

Structure (Quantum ESPRESSO input):
```
&SYSTEM
  ibrav = 0, nat = 5, ntyp = 3
/
ATOMIC_SPECIES
Ta 180.95 Ta.upf
Sn 118.71 Sn.upf
I 126.90 I.upf
ATOMIC_POSITIONS angstrom
Ta 0.000 0.000 0.000
Sn 0.000 2.789 2.789
Sn 2.789 0.000 2.789
Sn 2.789 2.789 0.000
I 2.789 2.789 2.789
CELL_PARAMETERS angstrom
5.579 0.000 0.000
0.000 5.579 0.000
0.000 0.000 5.579
```

Calculated values
The uncorrected energy comes out at -1.479 Ha/atom. The space group is No. 221. Its density of states at the Fermi level is 6.88 states/eV/cell. The value obtained for the volume is 34.7 Å³/atom. The calculation puts the calculated density at 6.35 g/cm3.